! Sr2PbBr | Alexandria | PBE-GGA | optimized geometry; values from VASP
&SYSTEM
  ibrav = 0, nat = 4, ntyp = 3
/
ATOMIC_SPECIES
Br 79.90 Br.upf
Sr 87.62 Sr.upf
Pb 207.20 Pb.upf
CELL_PARAMETERS angstrom
0.000 4.112 4.112
4.112 0.000 4.112
4.112 4.112 0.000
ATOMIC_POSITIONS crystal
Br 0.000 0.000 0.000
Sr 0.250 0.250 0.250
Sr 0.750 0.750 0.750
Pb 0.500 0.500 0.500
! Crystal system: cubic
! Uncorrected formation energy (eV/atom): -0.86
! Offset from the most stable computed form (meV per atom): 210
! Total magnetization (μB per formula unit): 0.00

***

! SrPb2Br6 | Alexandria | PBE-GGA | optimized geometry; values from VASP
&SYSTEM
  ibrav = 0, nat = 18, ntyp = 3
/
ATOMIC_SPECIES
Pb 207.20 Pb.upf
Br 79.90 Br.upf
Sr 87.62 Sr.upf
CELL_PARAMETERS angstrom
7.167 0.000 0.000
0.000 7.167 0.000
0.000 0.000 13.936
ATOMIC_POSITIONS crystal
Pb 0.500 0.500 0.167
Pb 0.000 0.000 0.333
Pb 0.500 0.500 0.833
Pb 0.000 0.000 0.667
Br 0.197 0.803 0.500
Br 0.803 0.197 0.500
Br 0.697 0.697 0.332
Br 0.303 0.303 0.668
Br 0.303 0.303 0.332
Br 0.303 0.303 0.000
Br 0.697 0.697 0.668
Br 0.197 0.803 0.832
Br 0.803 0.197 0.832
Br 0.697 0.697 0.000
Br 0.803 0.197 0.168
Br 0.197 0.803 0.168
Sr 0.500 0.500 0.500
Sr 0.000 0.000 0.000
! Crystal system: tetragonal
! Uncorrected formation energy (eV/atom): -1.31
! Offset from the most stable computed form (meV per atom): 10
! Total magnetization (μB per formula unit): 0.00

***

! SrPbBr2 | Alexandria | PBE-GGA | optimized geometry; values from VASP
&SYSTEM
  ibrav = 0, nat = 8, ntyp = 3
/
ATOMIC_SPECIES
Br 79.90 Br.upf
Sr 87.62 Sr.upf
Pb 207.20 Pb.upf
CELL_PARAMETERS angstrom
8.668 0.000 0.000
0.000 8.668 0.000
4.334 4.334 3.741
ATOMIC_POSITIONS crystal
Br 0.143 0.625 0.250
Br 0.375 0.393 0.750
Br 0.875 0.857 0.750
Br 0.607 0.125 0.250
Sr 0.500 0.500 0.000
Sr 0.250 0.750 0.500
Pb 0.750 0.250 0.500
Pb 0.000 0.000 0.000
! Crystal system: tetragonal
! Uncorrected formation energy (eV/atom): -1.01
! Offset from the most stable computed form (meV per atom): 182
! Total magnetization (μB per formula unit): 0.00

***

! SrPbBr2 | Alexandria | PBE-GGA | optimized geometry; values from VASP
&SYSTEM
  ibrav = 0, nat = 4, ntyp = 3
/
ATOMIC_SPECIES
Sr 87.62 Sr.upf
Pb 207.20 Pb.upf
Br 79.90 Br.upf
CELL_PARAMETERS angstrom
-2.540 2.181 -1.548
-2.669 -2.233 1.218
-0.719 6.485 10.316
ATOMIC_POSITIONS crystal
Sr 0.500 0.500 0.750
Pb 0.500 0.500 0.250
Br 0.000 0.000 0.896
Br 0.000 0.000 0.604
! Crystal system: orthorhombic
! Uncorrected formation energy (eV/atom): -1.16
! Offset from the most stable computed form (meV per atom): 28
! Total magnetization (μB per formula unit): 0.00

***

! Sr4PbBr5 | Alexandria | PBE-GGA | optimized geometry; values from VASP
&SYSTEM
  ibrav = 0, nat = 10, ntyp = 3
/
ATOMIC_SPECIES
Br 79.90 Br.upf
Sr 87.62 Sr.upf
Pb 207.20 Pb.upf
CELL_PARAMETERS angstrom
-2.337 3.224 -1.912
2.057 -3.665 -8.692
-7.307 -5.984 3.941
ATOMIC_POSITIONS crystal
Br 0.831 0.123 0.661
Br 0.169 0.335 0.337
Br 0.831 0.665 0.663
Br 0.500 0.500 0.000
Br 0.169 0.877 0.339
Sr 0.672 0.117 0.344
Sr 0.004 0.261 0.008
Sr 0.328 0.883 0.656
Sr 0.996 0.739 0.992
Pb 0.500 0.000 0.000
! Crystal system: monoclinic
! Uncorrected formation energy (eV/atom): -1.67
! Total magnetization (μB per formula unit): 0.31

***

! SrPbBr3 | Alexandria | PBE-GGA | optimized geometry; values from VASP
&SYSTEM
  ibrav = 0, nat = 5, ntyp = 3
/
ATOMIC_SPECIES
Br 79.90 Br.upf
Sr 87.62 Sr.upf
Pb 207.20 Pb.upf
CELL_PARAMETERS angstrom
-4.569 -1.370 3.528
3.654 -0.153 4.672
-0.988 5.771 0.961
ATOMIC_POSITIONS crystal
Br 0.000 0.500 0.000
Br 0.500 0.000 0.000
Br 0.000 0.000 0.500
Sr 0.500 0.500 0.500
Pb 0.000 0.000 0.000
! Crystal system: cubic
! Uncorrected formation energy (eV/atom): -0.88
! Offset from the most stable computed form (meV per atom): 224
! Total magnetization (μB per formula unit): 0.00

***

! SrPbBr2 | Alexandria | PBE-GGA | optimized geometry; values from VASP
&SYSTEM
  ibrav = 0, nat = 4, ntyp = 3
/
ATOMIC_SPECIES
Sr 87.62 Sr.upf
Br 79.90 Br.upf
Pb 207.20 Pb.upf
CELL_PARAMETERS angstrom
-5.401 0.872 0.982
-4.723 -2.906 -0.376
-0.525 -2.290 6.111
ATOMIC_POSITIONS crystal
Sr 0.250 0.250 0.250
Br 0.958 0.958 0.027
Br 0.542 0.542 0.473
Pb 0.750 0.750 0.750
! Crystal system: monoclinic
! Uncorrected formation energy (eV/atom): -1.09
! Offset from the most stable computed form (meV per atom): 94
! Total magnetization (μB per formula unit): 0.00

***

! Sr2Pb2Br | Alexandria | PBE-GGA | optimized geometry; values from VASP
&SYSTEM
  ibrav = 0, nat = 10, ntyp = 3
/
ATOMIC_SPECIES
Br 79.90 Br.upf
Pb 207.20 Pb.upf
Sr 87.62 Sr.upf
CELL_PARAMETERS angstrom
-4.863 -7.290 0.596
6.067 -3.621 5.219
-2.288 1.849 3.942
ATOMIC_POSITIONS crystal
Br 0.000 0.000 0.000
Br 0.500 0.500 0.000
Pb 0.885 0.385 0.500
Pb 0.385 0.115 0.500
Pb 0.615 0.885 0.500
Pb 0.115 0.615 0.500
Sr 0.681 0.181 0.000
Sr 0.181 0.319 0.000
Sr 0.819 0.681 0.000
Sr 0.319 0.819 0.000
! Crystal system: tetragonal
! Uncorrected formation energy (eV/atom): -0.80
! Total magnetization (μB per formula unit): 0.00

***

Please write out number 2 again, unchanged.
! SrPb2Br6 | Alexandria | PBE-GGA | optimized geometry; values from VASP
&SYSTEM
  ibrav = 0, nat = 18, ntyp = 3
/
ATOMIC_SPECIES
Pb 207.20 Pb.upf
Br 79.90 Br.upf
Sr 87.62 Sr.upf
CELL_PARAMETERS angstrom
7.167 0.000 0.000
0.000 7.167 0.000
0.000 0.000 13.936
ATOMIC_POSITIONS crystal
Pb 0.500 0.500 0.167
Pb 0.000 0.000 0.333
Pb 0.500 0.500 0.833
Pb 0.000 0.000 0.667
Br 0.197 0.803 0.500
Br 0.803 0.197 0.500
Br 0.697 0.697 0.332
Br 0.303 0.303 0.668
Br 0.303 0.303 0.332
Br 0.303 0.303 0.000
Br 0.697 0.697 0.668
Br 0.197 0.803 0.832
Br 0.803 0.197 0.832
Br 0.697 0.697 0.000
Br 0.803 0.197 0.168
Br 0.197 0.803 0.168
Sr 0.500 0.500 0.500
Sr 0.000 0.000 0.000
! Crystal system: tetragonal
! Uncorrected formation energy (eV/atom): -1.31
! Offset from the most stable computed form (meV per atom): 10
! Total magnetization (μB per formula unit): 0.00